(1)
DFT (PBE) results for crystalline Na2Li3GaSb4 at its relaxed geometry.

For the uncorrected formation energy, the calculation gives -0.392 eV/atom. As for the density of states at the Fermi level: 2.9 states/eV/cell. The space group is P-4m2 (115).

Lattice parameters (Å, degrees): 4.4816 4.4816 12.2743 90.00 90.00 90.00
Last column: nearest neighbours and their distance in Å.
Fractional positions:
Li (0.0000, 0.0000, 0.5000)  4 Sb 2.79
Sb (0.5000, 0.5000, 0.0000)  4 Li 2.87, 4 Sb 3.17
Sb (0.0000, 0.0000, 0.0000)  4 Li 2.87, 4 Sb 3.17
Li (0.5000, 0.0000, 0.8539)  5 Sb 2.69-2.87
Na (0.0000, 0.5000, 0.7401)  4 Sb 3.42, 6 Li 3.46-3.70, 2 Ga 3.70
Sb (0.0000, 0.5000, 0.3652)  3 Li 2.69-2.79, 2 Ga 2.79
Sb (0.5000, 0.0000, 0.6348)  3 Li 2.69-2.79, 2 Ga 2.79
Ga (0.5000, 0.5000, 0.5000)  4 Sb 2.79
Li (0.0000, 0.5000, 0.1461)  5 Sb 2.69-2.87
Na (0.5000, 0.0000, 0.2599)  4 Sb 3.42, 6 Li 3.46-3.70, 2 Ga 3.70


(2)
DFT (PBE) results for crystalline AlNiSb2 at its relaxed geometry.

For the uncorrected formation energy, the calculation gives 0.154 eV/atom. As for the density of states at the Fermi level: 1.9 states/eV/cell. The space group is Pmmm (47).

Lattice parameters (Å, degrees): 3.1575 3.2939 7.7676 90.00 90.00 90.00
Last column: nearest neighbours and their distance in Å.
Fractional positions:
Ni (0.5000, 0.5000, 0.7500)  8 Sb 2.81
Sb (0.0000, 0.0000, 0.5378)  4 Ni 2.81
Sb (0.0000, 0.0000, 0.9622)  4 Ni 2.81
Al (0.5000, 0.5000, 0.2500)  4 Al 3.16-3.29, 8 Sb 3.19


(3)
DFT (PBE) results for crystalline AcLa2Ag9 at its relaxed geometry.

As for the density of states at the Fermi level: 9.3 states/eV/cell. The electronic total energy comes out at -3.49 eV/atom. The space group is R-3m (166).

Lattice parameters (Å, degrees): 5.8330 5.8330 9.9805 73.01 73.01 60.00
Last column: nearest neighbours and their distance in Å.
Fractional positions:
Ag (0.5830, 0.0837, 0.7502)  7 Ag 2.87-2.92
Ag (0.3324, 0.3324, 0.0029)  6 Ag 2.87-2.91
Ag (0.6676, 0.6676, 0.9971)  6 Ag 2.87-2.91
Ag (0.4170, 0.9163, 0.2498)  7 Ag 2.87-2.92
La (0.1478, 0.1478, 0.5568)  12 Ag 3.34-3.44, 3 La 3.53
Ag (0.9163, 0.4170, 0.2498)  7 Ag 2.87-2.92
Ag (0.0837, 0.5830, 0.7502)  7 Ag 2.87-2.92
Ac (0.0000, 0.0000, 0.0000)  18 Ag 3.37-3.74
Ag (0.5000, 0.5000, 0.5000)  6 Ag 2.89
La (0.8522, 0.8522, 0.4432)  12 Ag 3.34-3.44, 3 La 3.53
Ag (0.5830, 0.5830, 0.7502)  7 Ag 2.87-2.92
Ag (0.4170, 0.4170, 0.2498)  7 Ag 2.87-2.92